1.
Below is crystalline Ca2TlZn at its relaxed geometry, with properties calculated at the PBE-GGA level.

a b c (Å): 10.1614 10.1614 10.1614
angles (deg): 21.73 21.73 21.73
Closest atoms and distances in Å follow each position.
Sites, in units of the cell vectors:
Ca1 0.2399 0.2399 0.2399  3 Tl 3.36
Ca2 0.0168 0.0168 0.0168  3 Zn 3.07
Zn1 0.7550 0.7550 0.7550  3 Tl 2.97, 3 Ca 3.07
Tl1 0.4883 0.4883 0.4883  3 Zn 2.97

Calculated values
ΔH_f (0 K) = -0.27 eV/f.u.

2.
Below is crystalline FePb at its relaxed geometry, with properties calculated at the PBE-GGA level.

a b c (Å): 4.5918 4.5918 4.5918
angles (deg): 42.39 42.39 42.39
Closest atoms and distances in Å follow each position.
Sites, in units of the cell vectors:
Fe1 0.0000 0.0000 0.0000  6 Pb 2.83
Pb1 0.5000 0.5000 0.5000  6 Fe 2.83

Calculated values
ΔH_f (0 K) = 1.42 eV/f.u.

3.
Below is crystalline La2SmPu at its relaxed geometry, with properties calculated at the PBE-GGA level.

a b c (Å): 3.6133 3.6133 10.2655
angles (deg): 90.00 90.00 90.00
Closest atoms and distances in Å follow each position.
Sites, in units of the cell vectors:
Pu1 0.5000 0.5000 0.0000  8 La 3.55, 4 Pu 3.61
La1 0.0000 0.0000 0.7604  4 Pu 3.55, 4 La 3.61, 4 Sm 3.70
La2 0.0000 0.0000 0.2396  4 Pu 3.55, 4 La 3.61, 4 Sm 3.70
Sm1 0.5000 0.5000 0.5000  4 Sm 3.61, 8 La 3.70

Calculated values
ΔH_f (0 K) = 0.44 eV/f.u.

4.
Below is crystalline Li15Sn at its relaxed geometry, with properties calculated at the PBE-GGA level.

a b c (Å): 6.0099 6.0099 9.8798
angles (deg): 90.00 90.00 120.00
Closest atoms and distances in Å follow each position.
Sites, in units of the cell vectors:
Li1 0.8368 0.1632 0.7563  11 Li 2.94-3.07, 1 Sn 2.95
Sn1 0.0000 0.0000 0.0000  12 Li 2.95-3.00
Li2 0.3265 0.1632 0.2437  11 Li 2.94-3.07, 1 Sn 2.95
Li3 0.3333 0.6667 0.2627  12 Li 2.94-3.13
Li4 0.5035 0.0070 0.5000  12 Li 2.94-3.07
Li5 0.3333 0.6667 0.7373  12 Li 2.94-3.13
Li6 0.5035 0.4965 0.5000  12 Li 2.94-3.07
Li7 0.5007 0.0014 0.0000  10 Li 2.98-3.13, 2 Sn 3.00
Li8 0.8368 0.1632 0.2437  11 Li 2.94-3.07, 1 Sn 2.95
Li9 0.0000 0.0000 0.5000  12 Li 3.01-3.05
Li10 0.3265 0.1632 0.7563  11 Li 2.94-3.07, 1 Sn 2.95
Li11 0.8368 0.6735 0.7563  11 Li 2.94-3.07, 1 Sn 2.95
Li12 0.5007 0.4993 0.0000  10 Li 2.98-3.13, 2 Sn 3.00
Li13 0.8368 0.6735 0.2437  11 Li 2.94-3.07, 1 Sn 2.95
Li14 0.9930 0.4965 0.5000  12 Li 2.94-3.07
Li15 0.9986 0.4993 0.0000  10 Li 2.98-3.13, 2 Sn 3.00

Calculated values
ΔH_f (0 K) = -1.23 eV/f.u.

5.
Below is crystalline Ni5As at its relaxed geometry, with properties calculated at the PBE-GGA level.

a b c (Å): 6.4431 6.4431 4.0277
angles (deg): 90.00 90.00 155.53
Closest atoms and distances in Å follow each position.
Sites, in units of the cell vectors:
Ni1 0.7813 0.2187 0.5000  12 Ni 2.46-2.73
Ni2 0.6621 0.3379 0.0000  10 Ni 2.49-2.73, 2 As 2.49
As1 0.9971 0.0029 0.0000  10 Ni 2.49-2.54, 2 As 2.73
Ni3 0.4468 0.5532 0.5000  8 Ni 2.49-2.73, 4 As 2.51
Ni4 0.1189 0.8811 0.5000  10 Ni 2.46-2.73, 2 As 2.53
Ni5 0.3271 0.6729 0.0000  10 Ni 2.49-2.73, 2 As 2.54

Calculated values
ΔH_f (0 K) = -0.07 eV/f.u.

6.
Below is crystalline Fe2Ru at its relaxed geometry, with properties calculated at the PBE-GGA level.

a b c (Å): 2.6299 2.6299 6.3085
angles (deg): 90.00 90.00 120.00
Closest atoms and distances in Å follow each position.
Sites, in units of the cell vectors:
Fe1 0.3333 0.6667 0.6694  9 Fe 2.57-2.63, 3 Ru 2.61
Fe2 0.0000 0.0000 0.9973  9 Fe 2.57-2.63, 3 Ru 2.61
Ru1 0.6667 0.3333 0.3333  6 Fe 2.61, 6 Ru 2.63

Calculated values
ΔH_f (0 K) = 0.53 eV/f.u.

7.
Below is crystalline Sc3Si4Ni4 at its relaxed geometry, with properties calculated at the PBE-GGA level.

a b c (Å): 3.8528 6.4815 7.3621
angles (deg): 116.11 105.14 90.00
Closest atoms and distances in Å follow each position.
Sites, in units of the cell vectors:
Ni1 0.3229 0.1271 0.6467  4 Si 2.35-2.37, 1 Ni 2.54
Ni2 0.6769 0.4803 0.3533  4 Si 2.35-2.37, 1 Ni 2.54
Si1 0.5000 0.8104 0.0000  2 Ni 2.35, 1 Si 2.46
Sc1 0.0000 0.5000 0.0000  6 Si 2.78-2.79
Ni3 0.3231 0.5197 0.6467  4 Si 2.35-2.37, 1 Ni 2.54
Si2 0.7799 0.2800 0.5600  6 Ni 2.36-2.37
Si3 0.5000 0.1896 0.0000  2 Ni 2.35, 1 Si 2.46
Sc2 0.8747 0.8746 0.7492  6 Si 2.74-2.78, 6 Ni 2.81-2.83
Sc3 0.1253 0.1254 0.2508  6 Si 2.74-2.78, 6 Ni 2.81-2.83
Ni4 0.6771 0.8729 0.3533  4 Si 2.35-2.37, 1 Ni 2.54
Si4 0.2201 0.7200 0.4400  6 Ni 2.36-2.37

Calculated values
final energy = -73.164 eV per formula unit

8.
Below is crystalline VReTc at its relaxed geometry, with properties calculated at the PBE-GGA level.

a b c (Å): 5.0042 5.0041 8.9302
angles (deg): 104.15 104.15 97.33
Closest atoms and distances in Å follow each position.
Sites, in units of the cell vectors:
Tc1 0.8777 0.8777 0.7555  2 Tc 2.50, 4 V 2.58-2.70, 2 Re 2.65
Re1 0.6250 0.8750 0.2500  2 Re 2.50, 2 V 2.55, 2 Tc 2.65
V1 0.7889 0.2111 0.0000  2 Re 2.55, 4 Tc 2.58-2.70
V2 0.2111 0.7889 0.0000  2 Re 2.55, 4 Tc 2.58-2.70
Tc2 0.1277 0.6277 0.2555  2 Tc 2.50, 4 V 2.58-2.70, 2 Re 2.65
Re2 0.6250 0.3750 0.7500  2 Re 2.50, 2 V 2.55, 2 Tc 2.65
V3 0.0389 0.9611 0.5000  2 Re 2.55, 4 Tc 2.58-2.70
V4 0.4611 0.5389 0.5000  2 Re 2.55, 4 Tc 2.58-2.70
Re3 0.6250 0.3750 0.2500  2 Re 2.50, 2 V 2.55, 2 Tc 2.65
Tc3 0.1223 0.1223 0.2445  2 Tc 2.50, 4 V 2.58-2.70, 2 Re 2.65
Tc4 0.3723 0.8723 0.7445  2 Tc 2.50, 4 V 2.58-2.70, 2 Re 2.65
Re4 0.1250 0.3750 0.7500  2 Re 2.50, 2 V 2.55, 2 Tc 2.65

Calculated values
ΔH_f (0 K) = 2.17 eV/f.u.

9.
Below is crystalline LiTiB at its relaxed geometry, with properties calculated at the PBE-GGA level.

a b c (Å): 3.9162 3.9162 2.8850
angles (deg): 90.00 90.00 120.00
Closest atoms and distances in Å follow each position.
Sites, in units of the cell vectors:
Li1 0.6667 0.3333 0.5000  6 Ti 2.68, 6 B 2.68, 2 Li 2.88
B1 0.0000 0.0000 0.0000  3 Ti 2.26
Ti1 0.3333 0.6667 0.0000  3 B 2.26

Calculated values
ΔH_f (0 K) = 1.43 eV/f.u.

10.
Below is crystalline Li2CdP at its relaxed geometry, with properties calculated at the PBE-GGA level.

a b c (Å): 7.1563 4.5807 3.0299
angles (deg): 90.06 64.87 129.84
Closest atoms and distances in Å follow each position.
Sites, in units of the cell vectors:
Li1 0.0000 0.0000 0.0000  4 P 2.74-2.75, 4 Cd 2.74-2.75, 2 Li 3.03
Li2 0.5000 0.0000 0.5000  4 Cd 2.74-2.75, 4 P 2.74-2.75, 2 Li 3.03
Cd1 0.5000 0.5000 0.0000  8 Li 2.74-2.75, 2 Cd 3.03
P1 0.0000 0.5000 0.5000  8 Li 2.74-2.75, 2 P 3.03

Calculated values
ΔH_f (0 K) = -1.15 eV/f.u.

11.
Below is crystalline NpSb2As at its relaxed geometry, with properties calculated at the PBE-GGA level.

a b c (Å): 3.1626 3.1626 11.8237
angles (deg): 82.31 82.31 60.00
Closest atoms and distances in Å follow each position.
Sites, in units of the cell vectors:
Sb1 0.0912 0.0912 0.7264  6 Sb 3.16, 1 Np 3.20, 3 As 3.21
As1 0.5000 0.5000 0.5000  6 As 3.16, 6 Sb 3.21
Np1 0.0000 0.0000 0.0000  6 Np 3.16, 2 Sb 3.20
Sb2 0.9088 0.9088 0.2736  6 Sb 3.16, 1 Np 3.20, 3 As 3.21

Calculated values
final energy = -23.593 eV per formula unit

12.
Below is crystalline InGeCl3 at its relaxed geometry, with properties calculated at the PBE-GGA level.

a b c (Å): 29.0472 11.5032 11.5032
angles (deg): 160.21 163.11 16.89
Closest atoms and distances in Å follow each position.
Sites, in units of the cell vectors:
In1 0.1436 0.6631 0.3369  6 Cl 3.09-3.38
In2 0.8564 0.3369 0.6631  6 Cl 3.09-3.38
Cl1 0.2499 0.7528 0.2472  2 Ge 2.60
Cl2 0.3841 0.9600 0.0400  1 Ge 2.32
Cl3 0.6159 0.0400 0.9600  1 Ge 2.32
Ge1 0.4775 0.9421 0.0579  1 Cl 2.32
Cl4 0.7501 0.2472 0.7528  2 Ge 2.60
Cl5 0.7638 0.0528 0.9472  2 Ge 2.89, 3 In 3.09-3.23
Cl6 0.2362 0.9472 0.0528  2 Ge 2.89, 3 In 3.09-3.23
Ge2 0.5225 0.0579 0.9421  1 Cl 2.32

Calculated values
final energy = -16.727 eV per formula unit

no.,DOS at the Fermi energy (states/eV/atom)
1,0.48
2,1.31
3,2.48
4,0.58
5,1.47
6,1.40
7,0.36
8,1.14
9,0.01
10,0.25
11,1.20
12,0.00